# 1
VASP calculation (GGA-PBE) on a relaxed structure of Ag2Pt3.

Unit cell a=11.947 b=11.947 c=11.947 alpha=13.53 beta=13.53 gamma=13.53
Positions (direct):
Pt1 0.199 0.199 0.199
Pt2 0.000 0.000 0.000
Pt3 0.801 0.801 0.801
Ag1 0.600 0.600 0.600
Ag2 0.400 0.400 0.400

Values from the calculation:
Space-group type = R-3m, No. 166
Total DFT energy (no corrections) = -4.81 eV per atom
V = 81.25 Å³/cell

=====

# 2
VASP calculation (GGA-PBE) on a relaxed structure of AgPt.

Unit cell a=8.007 b=8.007 c=4.574 alpha=90.00 beta=90.00 gamma=90.00
Positions (direct):
Ag1 0.898 0.771 0.500
Ag2 0.102 0.229 0.500
Ag3 0.057 0.675 0.000
Ag4 0.229 0.898 0.500
Ag5 0.675 0.943 0.000
Ag6 0.325 0.057 0.000
Ag7 0.943 0.325 0.000
Ag8 0.771 0.102 0.500
Pt1 0.440 0.252 0.500
Pt2 0.391 0.714 0.000
Pt3 0.714 0.609 0.000
Pt4 0.609 0.286 0.000
Pt5 0.286 0.391 0.000
Pt6 0.748 0.440 0.500
Pt7 0.560 0.748 0.500
Pt8 0.252 0.560 0.500

Values from the calculation:
Space-group type = P4/m, No. 83
Total DFT energy (no corrections) = -4.28 eV per atom
V = 293.23 Å³/cell

=====

# 3
VASP calculation (GGA-PBE) on a relaxed structure of Ag5Pt7.

Unit cell a=4.931 b=4.931 c=14.938 alpha=80.48 beta=80.48 gamma=33.37
Positions (direct):
Ag1 0.744 0.744 0.252
Ag2 0.255 0.255 0.078
Ag3 0.747 0.747 0.585
Ag4 0.498 0.498 0.172
Ag5 0.010 0.010 0.996
Pt1 0.506 0.506 0.827
Pt2 0.762 0.762 0.909
Pt3 0.500 0.500 0.502
Pt4 0.993 0.993 0.666
Pt5 0.247 0.247 0.750
Pt6 0.246 0.246 0.418
Pt7 0.992 0.992 0.344

Values from the calculation:
Space-group type = Cm, No. 8
Total DFT energy (no corrections) = -4.70 eV per atom
V = 196.80 Å³/cell

=====

| no. | energy relative to the elements (eV/atom) |
| --- | --- |
| 1 | -0.040 |
| 2 | 0.165 |
| 3 | 0.009 |